VASP calculation (PBEsol) on a relaxed structure of AlRe3Bi.

Calculated values
Space-group type: No. 221
Uncorrected energy: -0.4744 Ry per atom
DFT formation energy: 3220 meV per atom

Lattice parameters (Å, degrees): 4.896 4.896 4.896 90.00 90.00 90.00
Atoms (fractional coordinates):
Al 0.000 0.000 0.000
Re 0.000 0.500 0.500
Re 0.500 0.000 0.500
Re 0.500 0.500 0.000
Bi 0.500 0.500 0.500

---

VASP calculation (PBEsol) on a relaxed structure of ScAl2BiRh.

Calculated values
Space-group type: No. 123
Uncorrected energy: -0.4019 Ry per atom
DFT formation energy: -25 meV per atom

Lattice parameters (Å, degrees): 4.547 4.547 5.625 90.00 90.00 90.00
Atoms (fractional coordinates):
Sc 0.000 0.000 0.000
Al 0.000 0.500 0.500
Al 0.500 0.000 0.500
Bi 0.500 0.500 0.000
Rh 0.500 0.500 0.500

---

VASP calculation (PBEsol) on a relaxed structure of AlBi3Ru.

Calculated values
Space-group type: No. 221
Uncorrected energy: -0.2988 Ry per atom
DFT formation energy: 1358 meV per atom

Lattice parameters (Å, degrees): 5.222 5.222 5.222 90.00 90.00 90.00
Atoms (fractional coordinates):
Al 0.000 0.000 0.000
Bi 0.000 0.000 0.500
Bi 0.000 0.500 0.000
Bi 0.500 0.000 0.000
Ru 0.500 0.500 0.500

---

VASP calculation (PBEsol) on a relaxed structure of AlBiTe2Ru.

Calculated values
ΔE_f (raw): 1.211 eV per atom
Space-group type: No. 123
Uncorrected energy: -0.2873 Ry per atom

Lattice parameters (Å, degrees): 5.141 5.141 5.215 90.00 90.00 90.00
Atoms (fractional coordinates):
Al 0.000 0.000 0.000
Bi 0.000 0.000 0.500
Te 0.000 0.500 0.000
Te 0.500 0.000 0.000
Ru 0.500 0.500 0.500

---

Question: Which value of uncorrected energy does entry 1 give?
Answer: -0.4744 Ry per atom